# 1
This record from Alexandria via LeMat-Bulk describes Tl2TcW after structural relaxation. The functional is PBE.

Values from the calculation:
Calculated total energy (eV for the cell shown): -44.33
ΔH_f (0 K) (eV/f.u.): 5.89
Relative energy among the computed polymorphs (eV per atom): 1.0242
SG: No. 122

The structure in extended XYZ format:
```
8
Lattice="-3.852 3.852 2.844 3.852 -3.852 2.844 3.852 3.852 -2.844" Properties=species:S:1:pos:R:3 pbc="T T T"
Tl 5.778 1.887 -0.711
Tl 1.887 1.926 0.711
Tl -1.926 1.965 2.133
Tl 1.965 1.926 3.555
Tc 0.000 0.000 0.000
Tc 0.000 3.852 1.422
W 3.852 0.000 1.422
W 0.000 0.000 2.844
```

=====

# 2
This record from Alexandria via LeMat-Bulk describes Pm4Dy4Y3 after structural relaxation. The functional is PBE.

Values from the calculation:
Calculated total energy (eV for the cell shown): -55.43
ΔH_f (0 K) (eV/f.u.): 1.37
Relative energy among the computed polymorphs (eV per atom): 0.0709
SG: No. 71

The structure in extended XYZ format:
```
11
Lattice="-1.816 4.711 10.859 1.816 -4.711 10.859 1.816 4.711 -10.859" Properties=species:S:1:pos:R:3 pbc="T T T"
Pm 1.816 -3.032 7.718
Pm 0.000 1.679 3.141
Pm 1.816 3.032 7.718
Pm 0.000 7.743 3.141
Dy 1.816 0.000 5.634
Dy 0.000 2.986 0.000
Dy 0.000 6.436 0.000
Dy 0.000 4.711 5.225
Y 1.816 0.000 0.000
Y 0.000 0.000 8.517
Y 0.000 0.000 13.202
```

=====

# 3
This record from Alexandria via LeMat-Bulk describes ScCo2Ru after structural relaxation. The functional is PBE.

Values from the calculation:
Calculated total energy (eV for the cell shown): -29.97
ΔH_f (0 K) (eV/f.u.): -0.15
Relative energy among the computed polymorphs (eV per atom): 0.0528
SG: No. 44

The structure in extended XYZ format:
```
4
Lattice="-1.548 2.124 4.256 1.548 -2.124 4.256 1.548 2.124 -4.256" Properties=species:S:1:pos:R:3 pbc="T T T"
Sc 0.000 0.000 0.000
Co 1.548 0.000 2.208
Co 0.000 0.000 4.203
Ru 0.000 2.124 2.039
```

=====

# 4
This record from Alexandria via LeMat-Bulk describes La3Ni5H12 after structural relaxation. The functional is PBE.

Values from the calculation:
Calculated total energy (eV for the cell shown): -354.70
SG: No. 230

The structure in extended XYZ format:
```
80
Lattice="-5.827 5.827 5.827 5.827 -5.827 5.827 5.827 5.827 -5.827" Properties=species:S:1:pos:R:3 pbc="T T T"
La 2.914 1.457 0.000
La 5.827 2.914 -1.457
La 1.457 0.000 2.914
La 7.284 0.000 2.914
La 0.000 2.914 1.457
La 2.914 -1.457 5.827
La 2.914 7.284 0.000
La 5.827 2.914 4.370
La -1.457 5.827 2.914
La 4.370 5.827 2.914
La 0.000 2.914 7.284
La 2.914 4.370 5.827
Ni 0.000 0.000 0.000
Ni 2.914 2.914 -2.914
Ni 2.914 -2.914 2.914
Ni 5.827 0.000 0.000
Ni 8.741 1.457 0.000
Ni 5.827 -2.914 4.370
Ni 4.370 5.827 -2.914
Ni 4.370 0.000 2.914
Ni 2.914 4.370 0.000
Ni 5.827 2.914 1.457
Ni -2.914 2.914 2.914
Ni 0.000 5.827 0.000
Ni 0.000 0.000 5.827
Ni 2.914 2.914 2.914
Ni 0.000 2.914 4.370
Ni 2.914 1.457 5.827
Ni 1.457 5.827 2.914
Ni 1.457 0.000 8.741
Ni 0.000 8.741 1.457
Ni -2.914 4.370 5.827
H 4.490 -3.362 3.434
H 10.078 0.521 -0.449
H 7.403 0.521 0.449
H 7.164 -2.465 3.434
H 8.292 2.393 -1.337
H 6.276 -4.251 5.306
H 3.434 4.490 -3.362
H 5.306 -0.449 1.576
H 5.306 6.276 -4.251
H 3.434 -1.337 3.362
H 3.362 3.434 -1.337
H 5.378 1.576 0.521
H 9.189 2.393 1.337
H 5.378 -1.576 5.306
H 5.306 5.378 -1.576
H 3.434 1.337 2.465
H 3.434 7.164 -2.465
H 5.306 0.449 4.251
H 2.465 3.434 1.337
H 6.276 4.251 0.521
H 1.576 5.306 -0.449
H 7.164 2.465 2.393
H 4.251 5.306 0.449
H 4.490 3.362 2.393
H 1.337 2.465 3.434
H 1.576 0.521 5.378
H -1.337 3.362 3.434
H 4.251 0.521 6.276
H -0.449 1.576 5.306
H 3.362 2.393 4.490
H 0.521 5.378 1.576
H 2.393 -1.337 8.292
H 2.393 4.490 3.362
H 0.521 0.449 7.403
H 0.449 7.403 0.521
H -3.362 3.434 4.490
H 0.449 4.251 5.306
H 2.465 2.393 7.164
H 2.393 7.164 2.465
H 0.521 -0.449 10.078
H 0.521 6.276 4.251
H 2.393 1.337 9.189
H -0.449 10.078 0.521
H -2.465 3.434 7.164
H -1.337 8.292 2.393
H -1.576 5.306 5.378
H -4.251 5.306 6.276
H 1.337 9.189 2.393
```